VASP calculation (PBE-GGA) on Hf8Ga2P after structural relaxation.

Lattice parameters (Å, degrees): 8.4445 8.4445 6.6685 94.19 94.19 28.08
Closest atoms and distances in Å follow each position.
Fractional coordinates of all 11 atoms:
Hf 0.0036 0.0036 0.2487  2 P 2.63
Hf 0.2134 0.2134 0.3486  3 Ga 2.87-2.91, 7 Hf 3.03-3.14
Hf 0.3453 0.3453 0.9653  1 P 2.53, 2 Ga 2.75
Hf 0.4016 0.4016 0.4801  2 Ga 2.88, 8 Hf 3.06-3.21
Hf 0.5984 0.5984 0.5199  2 Ga 2.88, 8 Hf 3.06-3.21
Hf 0.6547 0.6547 0.0347  1 P 2.53, 2 Ga 2.75
Hf 0.7866 0.7866 0.6514  3 Ga 2.87-2.91, 7 Hf 3.03-3.14
Hf 0.9964 0.9964 0.7513  2 P 2.63
Ga 0.1776 0.1776 0.7688  9 Hf 2.75-2.96
Ga 0.8224 0.8224 0.2312  9 Hf 2.75-2.96
P 0.5000 0.5000 0.0000  6 Hf 2.53-2.63

Calculated values
The value obtained for the calculated total energy is -8.643 eV/atom. The energy of formation from the pure elements is -0.362 eV per atom.